# 1
Compound: TbPu2Zn2Ge2
Source: the Alexandria database
Functional: GGA-PBE
Structure: relaxed

```
TbPu2Zn2Ge2
1.0
2.0378 1.1765 9.0514
-2.0378 1.1765 9.0514
0.0000 -2.3531 9.0514
Tb Pu Zn Ge
1 2 2 2
Cartesian
0.0000 0.0000 0.0000
0.0000 0.0000 4.1301
0.0000 0.0000 23.0240
0.0000 0.0000 11.2497
0.0000 0.0000 15.9044
0.0000 0.0000 7.1570
0.0000 0.0000 19.9972
```

Results
- E_tot (eV/cell) = -46.63
- symmetry = R-3m, No. 166
- energy of formation from the pure elements (kJ per mole of atoms) = -21.40
- crystal system = trigonal

=====

# 2
Compound: Pu3Tc4Ge4
Source: the Alexandria database
Functional: GGA-PBE
Structure: relaxed

```
Pu3Tc4Ge4
1.0
-3.8293 3.8293 3.8293
3.8293 -3.8293 3.8293
3.8293 3.8293 -3.8293
Pu Tc Ge
3 4 4
Cartesian
3.8293 0.0000 0.0000
0.0000 3.8293 0.0000
0.0000 0.0000 3.8293
0.9657 0.9657 -0.9657
0.9657 -0.9657 0.9657
-0.9657 0.9657 0.9657
2.8635 2.8635 2.8635
2.3526 2.3526 -2.3526
2.3526 -2.3526 2.3526
1.4766 1.4766 1.4766
-2.3526 2.3526 2.3526
```

Results
- E_tot (eV/cell) = -104.89
- symmetry = I-43m, No. 217
- energy of formation from the pure elements (kJ per mole of atoms) = -17.23
- relative energy among the computed polymorphs (eV/f.u.) = 1.135
- crystal system = cubic

=====

# 3
Compound: PuTc3Ge2
Source: the Alexandria database
Functional: GGA-PBE
Structure: relaxed

```
PuTc3Ge2
1.0
7.6804 -2.0942 0.0000
7.6804 2.0942 0.0000
-3.6141 0.0000 6.5991
Pu Tc Ge
2 6 4
Cartesian
1.9077 0.0000 0.3959
9.8390 0.0000 6.2033
-0.7094 0.0000 2.6515
2.6747 0.0000 3.3910
5.0755 0.0000 2.2861
6.6711 0.0000 4.3130
9.0719 0.0000 3.2082
12.4560 0.0000 3.9476
0.4725 0.0000 4.9024
4.3622 0.0000 5.3733
7.3844 0.0000 1.2258
11.2742 0.0000 1.6968
```

Results
- E_tot (eV/cell) = -112.19
- symmetry = C2/m, No. 12
- energy of formation from the pure elements (kJ per mole of atoms) = -22.99
- crystal system = monoclinic

=====

# 4
Compound: Pu3TcGe2
Source: the Alexandria database
Functional: GGA-PBE
Structure: relaxed

```
Pu3TcGe2
1.0
-2.8492 7.8606 2.8755
2.8492 -7.8606 2.8755
2.8492 7.8606 -2.8755
Pu Tc Ge
6 2 4
Cartesian
1.1676 2.8364 0.0000
0.0000 0.0000 1.4378
1.1676 -2.8364 2.8755
1.6816 10.6970 0.0000
0.0000 0.0000 4.3133
1.6816 5.0241 2.8755
2.8492 0.0000 1.4378
0.0000 7.8606 1.4378
3.9414 1.9306 0.0000
1.0921 5.9299 0.0000
1.7571 1.9306 2.8755
-1.0921 5.9299 2.8755
```

Results
- E_tot (eV/cell) = -128.18
- symmetry = Ibam, No. 72
- energy of formation from the pure elements (kJ per mole of atoms) = -24.04
- relative energy among the computed polymorphs (eV/f.u.) = 0.382
- crystal system = orthorhombic

=====

# 5
Compound: Pu8TcGe2
Source: the Alexandria database
Functional: GGA-PBE
Structure: relaxed

```
Pu8TcGe2
1.0
7.1332 -2.5922 0.0000
7.1332 2.5922 0.0000
-2.2034 0.0000 5.9339
Pu Tc Ge
8 1 2
Cartesian
-0.5495 0.0000 1.5673
1.9130 0.0000 0.8146
4.5428 0.0000 0.7966
4.3257 0.0000 3.3058
7.7372 0.0000 2.6282
7.5201 0.0000 5.1373
10.1499 0.0000 5.1193
12.6124 0.0000 4.3667
7.1332 0.0000 0.0000
1.3643 0.0000 3.9286
10.6986 0.0000 2.0053
```

Results
- E_tot (eV/cell) = -135.52
- symmetry = C2/m, No. 12
- energy of formation from the pure elements (kJ per mole of atoms) = -11.08
- crystal system = monoclinic

=====

# 6
Compound: Pu5Tc2Ge2
Source: the Alexandria database
Functional: GGA-PBE
Structure: relaxed

```
Pu5Tc2Ge2
1.0
0.0000 4.0896 7.7350
3.1032 0.0000 7.7350
3.1032 4.0896 0.0000
Pu Tc Ge
5 2 2
Cartesian
0.0000 0.0000 0.0000
1.5516 2.0448 2.2763
1.5516 2.0448 5.4587
4.6548 6.1343 10.0114
4.6548 6.1343 13.1937
3.1032 2.7427 7.7350
3.1032 5.4364 7.7350
3.1032 4.0896 3.7964
3.1032 4.0896 11.6737
```

Results
- E_tot (eV/cell) = -101.96
- symmetry = Fmmm, No. 69
- energy of formation from the pure elements (kJ per mole of atoms) = -3.56
- crystal system = orthorhombic

=====

# 7
Compound: Pu6TcGe2
Source: the Alexandria database
Functional: GGA-PBE
Structure: relaxed

```
Pu6TcGe2
1.0
8.3983 0.0000 0.0000
0.0000 8.6720 0.0000
0.0000 0.0000 5.0673
Pu Tc Ge
12 2 4
Cartesian
0.3844 1.4408 0.0000
1.2625 5.3464 2.5336
1.4140 7.8623 2.5336
2.7852 3.5263 0.0000
2.9367 1.0104 0.0000
3.8147 5.7768 2.5336
4.5836 2.8953 2.5336
5.4616 7.6617 0.0000
5.6131 5.1457 0.0000
6.9843 0.8097 2.5336
7.1358 3.3256 2.5336
8.0139 7.2313 0.0000
0.0000 4.3360 0.0000
4.1991 0.0000 2.5336
1.7114 2.1943 2.5336
2.4877 6.5303 0.0000
5.9106 2.1417 0.0000
6.6868 6.4778 2.5336
```

Results
- E_tot (eV/cell) = -213.53
- symmetry = Pnnm, No. 58
- energy of formation from the pure elements (kJ per mole of atoms) = -12.58
- crystal system = orthorhombic

=====

# 8
Compound: Pu2Tc2Ge3
Source: the Alexandria database
Functional: GGA-PBE
Structure: relaxed

```
Pu2Tc2Ge3
1.0
1.5469 -13.1916 0.0000
1.5469 13.1916 0.0000
0.0000 0.0000 3.2297
Pu Tc Ge
2 2 3
Cartesian
1.5469 11.0882 0.0000
1.5469 -11.0882 0.0000
1.5469 7.6326 0.0000
1.5469 -7.6326 0.0000
1.5469 4.2807 1.6148
1.5469 0.0000 1.6148
1.5469 -4.2807 1.6148
```

Results
- E_tot (eV/cell) = -64.09
- symmetry = Cmmm, No. 65
- energy of formation from the pure elements (kJ per mole of atoms) = -11.55
- relative energy among the computed polymorphs (eV/f.u.) = 0.000
- crystal system = orthorhombic

=====

# 9
Compound: Pu3Tc2Ge6
Source: the Alexandria database
Functional: GGA-PBE
Structure: relaxed

```
Pu3Tc2Ge6
1.0
-2.2946 2.2946 11.9627
2.2946 -2.2946 11.9627
2.2946 2.2946 -11.9627
Pu Tc Ge
3 2 6
Cartesian
0.0000 0.0000 0.0000
0.0000 0.0000 4.1042
0.0000 0.0000 19.8211
0.0000 0.0000 9.3330
0.0000 0.0000 14.5923
2.2946 0.0000 1.9134
0.0000 0.0000 6.9646
2.2946 0.0000 10.0492
0.0000 2.2946 1.9134
0.0000 0.0000 16.9607
0.0000 2.2946 10.0492
```

Results
- E_tot (eV/cell) = -92.87
- symmetry = I4/mmm, No. 139
- energy of formation from the pure elements (kJ per mole of atoms) = -12.63
- crystal system = tetragonal

=====

# 10
Compound: Pu3TcGe3
Source: the Alexandria database
Functional: GGA-PBE
Structure: relaxed

```
Pu3TcGe3
1.0
3.9557 -4.9561 0.0000
3.9557 4.9561 0.0000
-1.5778 0.0000 7.8321
Pu Tc Ge
6 2 6
Cartesian
3.9557 3.6272 0.0000
3.1668 1.9766 3.9161
2.9418 0.0000 0.8992
3.3918 0.0000 6.9329
3.1668 -1.9766 3.9161
3.9557 -3.6272 0.0000
0.0872 0.0000 5.0895
6.2464 0.0000 2.7426
0.9741 1.8851 6.2481
0.8084 0.0000 2.7562
0.9741 -1.8851 6.2481
5.3595 1.8851 1.5840
5.5252 0.0000 5.0759
5.3595 -1.8851 1.5840
```

Results
- E_tot (eV/cell) = -138.03
- symmetry = C2/m, No. 12
- energy of formation from the pure elements (kJ per mole of atoms) = -24.81
- crystal system = monoclinic

=====

# 11
Compound: Pu4Tc7Ge6
Source: the Alexandria database
Functional: GGA-PBE
Structure: relaxed

```
Pu4Tc7Ge6
1.0
-4.1889 4.1889 4.1889
4.1889 -4.1889 4.1889
4.1889 4.1889 -4.1889
Pu Tc Ge
4 7 6
Cartesian
2.0945 2.0945 -2.0945
2.0945 -2.0945 2.0945
-2.0945 2.0945 2.0945
2.0945 2.0945 2.0945
0.0000 0.0000 0.0000
4.1889 2.0945 0.0000
4.1889 0.0000 2.0945
2.0945 4.1889 0.0000
2.0945 0.0000 4.1889
0.0000 4.1889 2.0945
0.0000 2.0945 4.1889
2.5759 0.0000 0.0000
5.8019 0.0000 0.0000
0.0000 2.5759 0.0000
0.0000 0.0000 2.5759
0.0000 5.8019 0.0000
0.0000 0.0000 5.8019
```

Results
- E_tot (eV/cell) = -163.52
- symmetry = Im-3m, No. 229
- energy of formation from the pure elements (kJ per mole of atoms) = -33.65
- crystal system = cubic

=====

# 12
Compound: Pu3Tc2Ge4
Source: the Alexandria database
Functional: GGA-PBE
Structure: relaxed

```
Pu3Tc2Ge4
1.0
5.3773 -2.1903 0.0000
5.3773 2.1903 0.0000
-2.5102 0.0000 7.7863
Pu Tc Ge
3 2 4
Cartesian
0.0000 0.0000 0.0000
3.1829 0.0000 2.4201
5.0616 0.0000 5.3662
1.7657 0.0000 4.9395
6.4787 0.0000 2.8468
-0.0805 0.0000 3.0943
0.8054 0.0000 7.2335
7.4390 0.0000 0.5528
8.3249 0.0000 4.6919
```

Results
- E_tot (eV/cell) = -85.32
- symmetry = C2/m, No. 12
- energy of formation from the pure elements (kJ per mole of atoms) = -33.50
- crystal system = monoclinic